# Y3Ga2Ni6

A geometry-optimized Y3Ga2Ni6 structure (GGA-PBEsol, the Alexandria database).

abc: 8.7647 8.7647 8.7647
angles: 90.00 90.00 90.00
Space group Im-3m (No. 229)
Unique sites:
1 Y 0.0000 0.0000 0.2898 [12 per cell]
2 Ga 0.2500 0.2500 0.2500 [8 per cell]
3 Ni 0.0000 0.3375 0.3375 [24 per cell]

## Properties
* formation enthalpy at 0 K: -0.572 eV per atom
* density of states at the Fermi level: 27.85 states/eV/cell

---

# Ba2MnSb

A geometry-optimized Ba2MnSb structure (GGA-PBEsol, the Alexandria database).

abc: 4.5165 4.5165 7.0674
angles: 90.00 90.00 90.00
Space group P4mm (No. 99)
Unique sites:
1 Ba 0.0000 0.0000 0.0000 [1 per cell]
2 Ba 0.5000 0.5000 0.3528 [1 per cell]
3 Mn 0.0000 0.0000 0.5530 [1 per cell]
4 Sb 0.5000 0.5000 0.8138 [1 per cell]

## Properties
* formation energy (no corrections): 0.1386 eV per atom
* density of states at the Fermi level: 1.73 states/eV/cell

---

# Al2CuAs

A geometry-optimized Al2CuAs structure (GGA-PBEsol, the Alexandria database).

abc: 3.9036 3.9036 8.1089
angles: 90.00 90.00 90.00
Space group I-4m2 (No. 119)
Unique sites:
1 Al 0.0000 0.0000 0.0000 [2 per cell]
2 Al 0.0000 0.5000 0.2500 [2 per cell]
3 Cu 0.0000 0.5000 0.7500 [2 per cell]
4 As 0.0000 0.0000 0.5000 [2 per cell]

## Properties
* formation enthalpy at 0 K: 0.098 eV per atom
* density of states at the Fermi level: 3.45 states/eV/cell

---

# Hg2RhCl

A geometry-optimized Hg2RhCl structure (GGA-PBEsol, the Alexandria database).

abc: 5.8516 3.3764 8.2829
angles: 90.00 103.91 90.00
Space group C2/m (No. 12)
Unique sites:
1 Hg 0.2463 0.0000 0.2347 [4 per cell]
2 Rh 0.0000 0.5000 0.0000 [2 per cell]
3 Cl 0.0000 0.0000 0.5000 [2 per cell]

## Properties
* formation energy (no corrections): 0.0758 eV per atom
* density of states at the Fermi level: 6.18 states/eV/cell

---

# Hf3Sn

A geometry-optimized Hf3Sn structure (GGA-PBEsol, the Alexandria database).

abc: 4.2554 4.2554 9.3049
angles: 90.00 90.00 90.00
Space group I4/mmm (No. 139)
Unique sites:
1 Hf 0.0000 0.0000 0.0000 [2 per cell]
2 Hf 0.0000 0.5000 0.2500 [4 per cell]
3 Sn 0.0000 0.0000 0.5000 [2 per cell]

## Properties
* formation enthalpy at 0 K: -0.289 eV per atom
* density of states at the Fermi level: 4.82 states/eV/cell

---

# Hg2GePAu

A geometry-optimized Hg2GePAu structure (GGA-PBEsol, the Alexandria database).

abc: 5.0614 5.0614 4.6207
angles: 90.00 90.00 90.00
Space group P4/mmm (No. 123)
Unique sites:
1 Hg 0.0000 0.5000 0.0000 [2 per cell]
2 Ge 0.0000 0.0000 0.5000 [1 per cell]
3 P 0.5000 0.5000 0.0000 [1 per cell]
4 Au 0.5000 0.5000 0.5000 [1 per cell]

## Properties
* formation enthalpy at 0 K: 0.563 eV per atom
* density of states at the Fermi level: 3.83 states/eV/cell

---

# MgPIr2Pd

A geometry-optimized MgPIr2Pd structure (GGA-PBEsol, the Alexandria database).

abc: 4.4729 4.4729 4.3876
angles: 90.00 90.00 90.00
Space group P4/mmm (No. 123)
Unique sites:
1 Mg 0.0000 0.0000 0.0000 [1 per cell]
2 P 0.0000 0.0000 0.5000 [1 per cell]
3 Ir 0.0000 0.5000 0.0000 [2 per cell]
4 Pd 0.5000 0.5000 0.5000 [1 per cell]

## Properties
* formation enthalpy at 0 K: 1.740 eV per atom
* density of states at the Fermi level: 7.19 states/eV/cell

---

# AgBiPO2

A geometry-optimized AgBiPO2 structure (GGA-PBEsol, the Alexandria database).

abc: 4.0836 4.0836 4.7017
angles: 90.00 90.00 90.00
Space group P4/mmm (No. 123)
Unique sites:
1 Ag 0.0000 0.0000 0.0000 [1 per cell]
2 Bi 0.5000 0.5000 0.5000 [1 per cell]
3 P 0.0000 0.0000 0.5000 [1 per cell]
4 O 0.0000 0.5000 0.0000 [2 per cell]

## Properties
* formation energy (no corrections): 0.2441 eV per atom
* density of states at the Fermi level: 2.25 states/eV/cell

---

# AcTb3

A geometry-optimized AcTb3 structure (GGA-PBEsol, the Alexandria database).

abc: 5.1021 5.1021 10.0560
angles: 90.00 90.00 90.00
Space group I4/mmm (No. 139)
Unique sites:
1 Ac 0.0000 0.0000 0.0000 [2 per cell]
2 Tb 0.0000 0.0000 0.5000 [2 per cell]
3 Tb 0.0000 0.5000 0.2500 [4 per cell]

## Properties
* formation enthalpy at 0 K: 0.054 eV per atom
* density of states at the Fermi level: 12.02 states/eV/cell

---

# LaTeP2S

A geometry-optimized LaTeP2S structure (GGA-PBEsol, the Alexandria database).

abc: 4.9726 4.9726 4.9901
angles: 90.00 90.00 90.00
Space group P4/mmm (No. 123)
Unique sites:
1 La 0.0000 0.0000 0.0000 [1 per cell]
2 Te 0.5000 0.5000 0.5000 [1 per cell]
3 P 0.0000 0.5000 0.5000 [2 per cell]
4 S 0.5000 0.5000 0.0000 [1 per cell]

## Properties
* formation energy (no corrections): -0.0823 eV per atom
* density of states at the Fermi level: 2.01 states/eV/cell

---

# SrCuMo2

A geometry-optimized SrCuMo2 structure (GGA-PBEsol, the Alexandria database).

abc: 3.8201 3.8201 5.0267
angles: 90.00 90.00 90.00
Space group P4/mmm (No. 123)
Unique sites:
1 Sr 0.0000 0.0000 0.0000 [1 per cell]
2 Cu 0.5000 0.5000 0.0000 [1 per cell]
3 Mo 0.0000 0.5000 0.5000 [2 per cell]

## Properties
* formation enthalpy at 0 K: 1.022 eV per atom
* distance to the lowest polymorph of the same formula: 0.0000 eV/atom
* density of states at the Fermi level: 4.26 states/eV/cell

---

# ReAg2Hg

A geometry-optimized ReAg2Hg structure (GGA-PBEsol, the Alexandria database).

abc: 9.5931 2.7067 5.2068
angles: 90.00 97.88 90.00
Space group Cm (No. 8)
Unique sites:
1 Re 0.0000 0.0000 0.0000 [2 per cell]
2 Ag 0.2450 0.5000 0.2593 [2 per cell]
3 Ag 0.4965 0.0000 0.4912 [2 per cell]
4 Hg 0.2506 0.0000 0.7700 [2 per cell]

## Properties
* formation enthalpy at 0 K: 0.615 eV per atom
* density of states at the Fermi level: 5.66 states/eV/cell